SrCu2Ag | PBE-GGA | relaxed

Calculated values
energy relative to the elements: 0.174 eV per atom
space-group type: I-4m2, No. 119
DOS(E_F): 0.30 states/eV per atom

Unit cell a=4.545 b=4.545 c=7.997 alpha=90.00 beta=90.00 gamma=90.00
Fractional coordinates of all 8 atoms:
Sr  0.000  0.000  0.000
Sr  0.500  0.500  0.500
Cu  0.000  0.000  0.500
Cu  0.000  0.500  0.250
Cu  0.500  0.000  0.750
Cu  0.500  0.500  0.000
Ag  0.000  0.500  0.750
Ag  0.500  0.000  0.250